PmNdCI | the Alexandria database | GGA-PBE | optimized geometry; electronic total energy = -0.4242 Ry/atom; V = 101 Å³/f.u.
1.0
1.934 1.116 7.763
-1.934 1.116 7.763
0.000 -2.233 7.763
Pm Nd C I
1 1 1 1
Direct
0.000 0.000 0.000 Pm
0.217 0.217 0.217 Nd
0.611 0.611 0.611 C
0.441 0.441 0.441 I

***

Mn2AlSe | the Alexandria database | GGA-PBE | optimized geometry; electronic total energy = -0.4644 Ry/atom; V = 60 Å³/f.u.
1.0
2.978 0.000 0.000
0.000 4.377 0.000
-1.480 0.000 4.617
Mn Al Se
2 1 1
Direct
0.000 0.000 0.000 Mn
0.373 0.500 0.747 Mn
0.736 0.000 0.476 Al
0.093 0.500 0.188 Se

***

Y2MgCd | the Alexandria database | GGA-PBE | optimized geometry; electronic total energy = -0.2962 Ry/atom; V = 109 Å³/f.u.
1.0
3.531 0.000 0.000
0.000 4.992 0.000
-1.737 0.000 6.192
Y Mg Cd
2 1 1
Direct
0.000 0.000 0.000 Y
0.333 0.500 0.668 Y
0.731 0.000 0.465 Mg
0.599 0.500 0.197 Cd

***

Nd4HoHg5 | the Alexandria database | GGA-PBE | optimized geometry; electronic total energy = -0.2196 Ry/atom; V = 277 Å³/f.u.
1.0
3.804 0.000 0.000
0.000 3.804 0.000
0.000 0.000 19.132
Nd Ho Hg
4 1 5
Direct
0.000 0.000 0.102 Nd
0.000 0.000 0.304 Nd
0.000 0.000 0.696 Nd
0.000 0.000 0.898 Nd
0.000 0.000 0.500 Ho
0.500 0.500 0.000 Hg
0.500 0.500 0.202 Hg
0.500 0.500 0.409 Hg
0.500 0.500 0.591 Hg
0.500 0.500 0.798 Hg

***

K2OsRhCl | the Alexandria database | GGA-PBE | optimized geometry; electronic total energy = -0.2940 Ry/atom; V = 187 Å³/f.u.
1.0
6.402 0.000 0.000
0.000 6.402 0.000
0.000 0.000 4.558
K Os Rh Cl
2 1 1 1
Direct
0.000 0.500 0.000 K
0.500 0.000 0.000 K
0.000 0.000 0.000 Os
0.000 0.000 0.500 Rh
0.500 0.500 0.500 Cl

***

CaHoGe4 | the Alexandria database | GGA-PBE | optimized geometry; electronic total energy = -0.3298 Ry/atom; V = 128 Å³/f.u.
1.0
0.000 4.004 4.004
4.004 0.000 4.004
4.004 4.004 0.000
Ca Ho Ge
1 1 4
Direct
0.000 0.000 0.000 Ca
0.250 0.250 0.250 Ho
0.127 0.624 0.624 Ge
0.624 0.127 0.624 Ge
0.624 0.624 0.127 Ge
0.624 0.624 0.624 Ge

***

PrHo2Zn3 | the Alexandria database | GGA-PBE | optimized geometry; electronic total energy = -0.2413 Ry/atom; V = 141 Å³/f.u.
1.0
3.597 0.000 0.000
0.000 3.597 0.000
0.000 0.000 10.874
Pr Ho Zn
1 2 3
Direct
0.000 0.000 0.000 Pr
0.000 0.000 0.338 Ho
0.000 0.000 0.662 Ho
0.500 0.500 0.183 Zn
0.500 0.500 0.500 Zn
0.500 0.500 0.817 Zn

***

P2AuBr | the Alexandria database | GGA-PBE | optimized geometry; electronic total energy = -0.2809 Ry/atom; V = 95 Å³/f.u.
1.0
4.373 0.000 0.000
0.000 3.670 0.000
-0.286 0.000 5.949
P Au Br
2 1 1
Direct
0.178 0.000 0.128 P
0.822 0.000 0.872 P
0.500 0.500 0.000 Au
0.000 0.500 0.500 Br

***

KReAg3 | the Alexandria database | GGA-PBE | optimized geometry; electronic total energy = -0.1637 Ry/atom; V = 145 Å³/f.u.
1.0
5.252 0.000 0.000
0.000 5.252 0.000
0.000 0.000 5.252
K Re Ag
1 1 3
Direct
0.000 0.000 0.000 K
0.500 0.500 0.500 Re
0.000 0.000 0.500 Ag
0.000 0.500 0.000 Ag
0.500 0.000 0.000 Ag

***

CsRhF2 | the Alexandria database | GGA-PBE | optimized geometry; electronic total energy = -0.3076 Ry/atom; V = 94 Å³/f.u.
1.0
-2.602 2.602 6.908
2.602 -2.602 6.908
2.602 2.602 -6.908
Cs Rh F
2 2 4
Direct
0.000 0.000 0.000 Cs
0.750 0.250 0.500 Cs
0.250 0.750 0.500 Rh
0.500 0.500 0.000 Rh
0.260 0.625 0.135 F
0.375 0.510 0.635 F
0.490 0.125 0.865 F
0.875 0.740 0.365 F

***

TbHfN2 | the Alexandria database | GGA-PBE | optimized geometry; electronic total energy = -0.6892 Ry/atom; V = 53 Å³/f.u.
1.0
1.634 0.943 5.767
-1.634 0.943 5.767
0.000 -1.886 5.767
Tb Hf N
1 1 2
Direct
0.000 0.000 0.000 Tb
0.174 0.174 0.174 Hf
0.577 0.577 0.577 N
0.765 0.765 0.765 N

***

YZnInI2 | the Alexandria database | GGA-PBE | optimized geometry; electronic total energy = -0.1896 Ry/atom; V = 167 Å³/f.u.
1.0
5.661 0.000 0.000
0.000 5.661 0.000
0.000 0.000 5.201
Y Zn In I
1 1 1 2
Direct
0.000 0.000 0.000 Y
0.500 0.500 0.500 Zn
0.500 0.500 0.000 In
0.000 0.500 0.500 I
0.500 0.000 0.500 I